A plane-wave DFT calculation with PBE was carried out for crystalline Ce6PtRh2 at its relaxed geometry.

Results
The energy relative to the elements comes out at -0.48 eV per atom.

```
Ce6PtRh2
1.0
-3.2938 0.2106 5.4241
-0.9551 -7.2715 -0.2977
8.5012 -1.3146 4.8341
Ce Pt Rh
12 2 4
Cartesian
-1.6784 -7.0173 5.3665
1.2931 -5.2369 7.0317
4.3486 -6.0630 8.9048
2.6181 -2.0212 6.2193
5.7633 -2.1641 8.1204
-0.3436 -3.4637 4.7715
5.9306 -1.3581 4.5939
2.9591 -3.1385 2.9288
-0.0964 -2.3124 1.0557
1.6342 -6.3542 3.7412
-1.5111 -6.2113 1.8401
4.5959 -4.9117 5.1890
-2.1245 -3.5304 2.5632
4.2506 -0.6573 2.4170
3.1418 -3.5562 8.7379
3.4734 -7.2036 6.2766
0.7788 -1.1719 3.6838
1.1104 -4.8192 1.2226
```

A plane-wave DFT calculation with PBE was carried out for crystalline Ce8PtRh5 at its relaxed geometry.

Results
The energy relative to the elements comes out at -0.70 eV per atom.

```
Ce8PtRh5
1.0
7.1118 0.0000 -2.5132
-3.5163 6.1811 -2.5146
-0.0791 0.0000 7.5424
Ce Pt Rh
8 1 5
Cartesian
-1.8686 4.6671 5.2908
-0.4655 0.7905 5.4048
4.3567 1.5422 0.3454
3.0896 2.2533 4.1054
1.3674 3.9278 -0.9181
1.3687 5.3906 2.8400
0.8072 1.5140 1.5491
-1.7811 4.6389 1.4965
-0.0396 3.0905 3.7712
-1.3175 2.3432 -0.0114
3.1096 5.4240 -2.4946
3.0796 3.8379 1.2716
3.5163 0.0000 2.5146
2.1610 0.7571 6.2636
```

A plane-wave DFT calculation with PBE was carried out for crystalline Ce8Pt5Rh at its relaxed geometry.

Results
The energy relative to the elements comes out at -0.88 eV per atom.

```
Ce8Pt5Rh
1.0
7.2397 0.0000 -2.4694
-3.6217 6.2199 -2.5900
0.0037 0.0000 7.6493
Ce Pt Rh
8 5 1
Cartesian
-1.7631 4.6305 5.3612
-0.4419 0.8335 5.3767
4.5141 1.5574 0.3641
3.1785 2.3296 4.1877
1.3686 3.8903 -0.9359
1.3270 5.3864 2.9030
0.8853 1.5894 1.6578
-1.8178 4.6625 1.5640
5.8759 2.3092 -2.4714
3.1781 5.4282 -2.5350
3.1789 3.9107 1.3000
3.6217 0.0000 2.5900
2.2466 0.7917 -1.2323
0.0018 3.1100 3.8247
```

A plane-wave DFT calculation with PBE was carried out for crystalline CePtRh3 at its relaxed geometry.

Results
As for the energy above the lowest structure with this stoichiometry: 0.482 eV per atom. The energy relative to the elements comes out at 0.08 eV per atom.

```
CePtRh3
1.0
5.1698 0.0000 0.0000
0.0000 7.4367 -0.4067
0.0000 -3.7292 6.4470
Ce Pt Rh
2 2 6
Cartesian
3.8774 3.4653 2.0310
1.2925 0.2423 4.0093
3.8774 5.4902 0.7881
1.2925 -1.7826 5.2522
3.8774 2.2531 4.3055
3.8774 0.8884 2.0822
1.2925 2.8191 3.9581
1.2925 1.4545 1.7348
0.0000 0.0000 0.0000
2.5849 0.0000 0.0000
```

A plane-wave DFT calculation with PBE was carried out for crystalline Ce4Pt3Rh at its relaxed geometry.

Results
The energy relative to the elements comes out at -1.01 eV per atom.

```
Ce4Pt3Rh
1.0
3.8537 0.0000 0.0000
0.0000 4.3496 0.0000
0.0000 0.0000 11.0303
Ce Pt Rh
4 3 1
Cartesian
1.9268 2.1748 3.9259
0.0000 2.1748 9.5516
0.0000 0.0000 1.4890
1.9268 0.0000 7.0051
0.0000 2.1748 6.5636
0.0000 0.0000 4.4705
1.9268 0.0000 10.0103
1.9268 2.1748 1.1050
```

A plane-wave DFT calculation with PBE was carried out for crystalline Ce2PtRh3 at its relaxed geometry.

Results
The energy relative to the elements comes out at -0.80 eV per atom.

```
Ce2PtRh3
1.0
4.2452 0.0000 0.0000
0.0000 5.7064 0.1089
0.0000 0.1942 9.3695
Ce Pt Rh
4 2 6
Cartesian
1.0613 1.5520 4.0447
3.1839 4.3486 5.4337
3.1839 1.6493 8.7294
1.0613 4.2513 0.7491
1.0613 5.8520 7.1366
3.1839 0.0486 2.3418
3.1839 1.5442 5.9168
1.0613 4.3564 3.5617
3.1839 2.9017 2.3973
1.0613 2.9989 7.0811
1.0613 1.4477 1.2319
3.1839 4.4529 8.2465
```

A plane-wave DFT calculation with PBE was carried out for crystalline CePt8Rh4 at its relaxed geometry.

Results
The energy relative to the elements comes out at 0.22 eV per atom.

```
CePt8Rh4
1.0
-5.2544 2.6084 -2.1581
-3.8873 -4.4488 2.0413
-1.6091 2.8554 5.3224
Ce Pt Rh
1 8 4
Cartesian
0.0000 0.0000 0.0000
-5.6628 1.6361 0.2898
-3.7618 1.7649 4.1906
-4.9499 -2.0440 2.4796
-2.6747 0.2525 1.2951
-8.0761 0.7624 3.9104
-6.9890 -0.7500 1.0149
-5.8009 3.0589 2.7259
-5.0881 -0.6212 4.9157
-5.3754 0.5075 2.6028
-4.5709 -0.9202 -0.0584
-2.7482 -0.7967 3.6818
-3.4317 2.7319 1.5821
```

A plane-wave DFT calculation with PBE was carried out for crystalline CePt2Rh2 at its relaxed geometry.

Results
As for the energy above the lowest structure with this stoichiometry: 0.157 eV per atom. The energy relative to the elements comes out at -0.28 eV per atom.

```
CePt2Rh2
1.0
4.6966 0.0000 0.0000
-2.3483 4.0673 0.0000
0.0000 0.0000 10.8103
Ce Pt Rh
2 4 4
Cartesian
0.0000 0.0000 2.7026
0.0000 0.0000 8.1077
2.3483 1.3558 8.1077
0.0000 0.0000 0.0000
0.0000 0.0000 5.4051
0.0000 2.7116 2.7026
0.0000 2.7116 5.2821
2.3483 1.3558 10.6873
2.3483 1.3558 5.5281
0.0000 2.7116 0.1230
```

A plane-wave DFT calculation with PBE was carried out for crystalline Ce3Pt9Rh2 at its relaxed geometry.

Results
The energy relative to the elements comes out at -0.69 eV per atom.

```
Ce3Pt9Rh2
1.0
-0.1282 2.9306 3.2629
-7.4500 3.0956 -0.1230
-3.4734 -3.7908 6.2182
Ce Pt Rh
3 9 2
Cartesian
0.0000 0.0000 0.0000
-3.3919 1.8344 4.1192
-7.6597 0.4010 5.2389
-5.4617 -0.3476 3.0476
-9.8528 2.2042 6.4831
-1.1988 0.0311 2.8750
-8.8341 0.4402 8.1075
-2.2175 1.7951 1.2506
-7.8253 3.6603 5.2551
-3.2263 -1.4250 4.1030
-6.0569 0.5979 8.0750
-4.9947 1.6374 1.2831
-4.8844 0.0070 5.7018
-6.1672 2.2283 3.6563
```

A plane-wave DFT calculation with PBE was carried out for crystalline Ce2Pt2Rh3 at its relaxed geometry.

Results
The energy relative to the elements comes out at -0.70 eV per atom.

```
Ce2Pt2Rh3
1.0
3.9816 -0.0020 -1.1104
-2.3333 4.4792 -0.6667
-0.0378 -1.5256 7.5416
Ce Pt Rh
2 2 3
Cartesian
2.3454 1.4422 0.7189
-0.7349 1.5095 5.0455
0.7826 -0.0643 2.7992
0.8279 3.0159 2.9653
0.0000 0.0000 0.0000
1.5634 -0.0216 5.5885
0.0471 2.9733 0.1760
```

A plane-wave DFT calculation with PBE was carried out for crystalline Ce3Pt2Rh3 at its relaxed geometry.

Results
The energy relative to the elements comes out at -0.82 eV per atom.

```
Ce3Pt2Rh3
1.0
-2.0956 -2.7618 2.1653
-1.4931 -1.6841 -3.5932
7.0034 -5.5546 -0.3068
Ce Pt Rh
3 2 3
Cartesian
3.1827 -6.1703 -0.9320
0.2321 -3.8302 -0.8027
-1.0478 -1.3809 1.0826
5.1541 -4.0878 -0.2258
1.8494 -1.4668 -0.0810
2.4539 -4.1582 0.9292
-0.7466 -0.8421 -1.7966
2.7552 -3.6193 -1.9500
```

A plane-wave DFT calculation with PBE was carried out for crystalline CePtRh3 at its relaxed geometry.

Results
As for the energy above the lowest structure with this stoichiometry: 0.000 eV per atom. The energy relative to the elements comes out at -0.41 eV per atom.

```
CePtRh3
1.0
-3.8520 0.5648 3.4481
2.9222 -2.1289 3.6131
4.7292 11.5092 2.9567
Ce Pt Rh
4 4 12
Cartesian
-0.9833 2.4411 5.6954
1.8290 1.0577 6.2211
4.7827 7.5039 4.3225
1.9704 8.8873 3.7967
0.5327 0.8349 3.4829
4.1327 2.1226 4.9457
3.2667 9.1101 6.5350
-0.3333 7.8224 5.0722
3.8414 4.8214 4.6185
3.8131 10.9130 4.6153
-0.0420 5.1236 5.3994
-0.0137 -0.9680 5.4026
0.7317 10.3080 5.6936
2.2164 6.6139 5.9316
3.0677 -0.3629 4.3243
1.5830 3.3312 4.0862
2.0375 3.9486 6.6237
-2.1069 0.2170 4.1614
1.7619 5.9964 3.3942
5.9063 9.7281 5.8565
```

A plane-wave DFT calculation with PBE was carried out for crystalline Ce5PtRh4 at its relaxed geometry.

Results
The energy relative to the elements comes out at -0.77 eV per atom.

```
Ce5PtRh4
1.0
5.7086 0.0000 0.0000
2.8543 6.3754 0.0000
2.8543 0.0000 6.3754
Ce Pt Rh
5 1 4
Cartesian
8.5682 2.5903 5.0714
5.7140 5.0714 3.7851
5.7139 1.3040 2.5903
2.8597 3.7851 1.3040
2.8622 0.0000 0.0000
0.0079 0.0000 0.0000
5.7140 2.5647 5.1283
8.5682 5.1283 3.8108
2.8597 1.2472 2.5647
5.7140 3.8108 1.2472
```

A plane-wave DFT calculation with PBE was carried out for crystalline Ce4Pt2Rh at its relaxed geometry.

Results
The energy relative to the elements comes out at -0.65 eV per atom.

```
Ce4Pt2Rh
1.0
-1.5587 3.4845 -0.9506
-2.5240 0.6563 6.5445
6.7718 2.9980 -0.1146
Ce Pt Rh
4 2 1
Cartesian
4.5082 4.3600 0.4500
0.9330 1.2589 3.0847
-1.2118 3.3009 5.9475
3.9224 2.9176 4.2632
2.1866 3.7176 1.9021
1.1100 3.9434 4.4953
0.3033 0.2610 0.4595
```

A plane-wave DFT calculation with PBE was carried out for crystalline Ce2Pt15Rh2 at its relaxed geometry.

Results
The energy relative to the elements comes out at -0.40 eV per atom.

```
Ce2Pt15Rh2
1.0
-2.1727 -5.1767 4.1262
3.4112 -5.1292 -3.2558
5.5566 -0.0848 4.2026
Ce Pt Rh
2 15 2
Cartesian
2.1979 -3.3610 1.6409
4.5971 -7.0297 3.4321
-1.0864 -2.5884 2.0631
2.7783 -0.0424 2.1013
1.7056 -2.5646 -1.6279
4.0727 -3.5739 -0.9562
-0.4511 -5.1621 1.8502
3.1735 -1.6547 4.1791
1.6896 -5.1438 -0.9798
0.2103 -3.6068 4.1497
4.8951 -1.6400 1.9031
5.4969 -4.2219 1.2743
1.6921 -6.7284 1.2366
2.7482 -4.2453 4.9080
1.2981 -6.1688 3.7988
5.1029 -3.6623 3.8364
4.0469 -6.1454 0.1650
0.7133 -1.0907 0.5325
6.0818 -9.2999 4.5405
```

A plane-wave DFT calculation with PBE was carried out for crystalline Ce2Pt5Rh at its relaxed geometry.

Results
The energy relative to the elements comes out at -0.96 eV per atom.

```
Ce2Pt5Rh
1.0
-3.6370 1.8139 -0.6435
-2.6536 -4.1999 3.1593
1.4723 6.4173 9.7678
Ce Pt Rh
4 10 2
Cartesian
-1.5323 3.8978 6.4911
-3.2860 0.1335 5.7925
-2.3393 0.5770 1.6916
-2.4790 3.4543 10.5920
0.0000 0.0000 0.0000
-0.5906 1.1087 6.4635
-0.1915 2.7616 8.8672
-0.9897 -0.5442 4.0599
0.3367 1.5542 2.4779
-1.5180 0.6632 10.4491
-1.1715 5.4989 8.9657
-3.6467 -1.4676 3.3179
-1.9577 2.2111 4.1413
-2.8605 1.8202 8.1422
0.7362 3.2086 4.8839
-1.3268 -2.1000 1.5796
```

A plane-wave DFT calculation with PBE was carried out for crystalline Ce2PtRh4 at its relaxed geometry.

Results
As for the energy above the lowest structure with this stoichiometry: 0.000 eV per atom. The energy relative to the elements comes out at -0.55 eV per atom.

```
Ce2PtRh4
1.0
-1.1518 4.7677 -8.1956
0.4147 -4.6698 -2.7749
-5.0118 1.7197 1.7048
Ce Pt Rh
4 2 8
Cartesian
-1.2575 -2.5225 -1.2907
-3.3397 -0.4276 0.2206
-3.7082 -0.3787 -5.2647
-2.0408 2.1963 -4.0011
0.0000 0.0000 0.0000
-0.3686 0.0490 -5.4852
-0.5535 0.0788 -8.2271
-3.0593 0.9388 -7.3722
-3.2666 3.2736 -5.9848
-0.7603 2.4116 -6.8360
0.0232 -2.3136 -4.1344
-2.4824 -1.4560 -3.2809
-2.6897 0.8789 -1.8935
-0.1836 0.0191 -2.7433
```

A plane-wave DFT calculation with PBE was carried out for crystalline CePt2Rh at its relaxed geometry.

Results
The energy relative to the elements comes out at -0.55 eV per atom.

```
CePt2Rh
1.0
-0.8182 3.7572 2.7291
1.5077 0.0421 4.4675
3.5611 2.8191 1.2600
Rh Ce Pt
1 1 2
Cartesian
0.0000 0.0000 0.0000
2.1253 3.3092 4.2283
3.1837 4.9618 6.3439
1.0669 1.6566 2.1127
```

A plane-wave DFT calculation with PBE was carried out for crystalline Ce3PtRh5 at its relaxed geometry.

Results
The energy relative to the elements comes out at -0.74 eV per atom.

```
Ce3PtRh5
1.0
5.7824 0.0000 0.0000
0.0000 7.0383 -4.0636
0.0000 0.0001 8.1272
Ce Pt Rh
6 2 10
Cartesian
4.3368 2.4070 1.3894
4.3368 0.0003 5.3480
4.3368 4.6315 -2.6741
1.4456 4.6314 2.6742
1.4456 7.0381 -1.2844
1.4456 2.4068 -1.3896
0.0000 0.0000 0.0000
2.8912 0.0000 0.0000
0.0000 4.6922 -0.0001
2.8912 2.3462 4.0637
0.0000 2.3462 4.0637
2.8912 4.6922 -0.0001
4.3368 4.7464 2.7402
4.3368 0.0001 2.6466
4.3368 2.2920 -1.3233
1.4456 2.2920 1.3234
1.4456 7.0383 1.4170
1.4456 4.7463 -2.7403
```

A plane-wave DFT calculation with PBE was carried out for crystalline CeSb2PtRh2 at its relaxed geometry.

Results
As for the uncorrected formation energy: -0.080 eV/atom.

```
CeSb2PtRh2
1.0
5.0816 0.0000 0.0000
0.0000 5.0816 0.0000
0.0000 0.0000 5.5050
Ce Sb Pt Rh
1 2 1 2
Cartesian
0.0000 0.0000 2.7525
2.5408 0.0000 0.0000
0.0000 2.5408 0.0000
0.0000 0.0000 0.0000
2.5408 2.5408 4.0753
2.5408 2.5408 1.4297
```

A plane-wave DFT calculation with PBE was carried out for crystalline CeSbPtRh at its relaxed geometry.

Results
As for the uncorrected formation energy: -0.674 eV/atom.

```
CeSbPtRh
1.0
-3.1038 2.8407 2.4219
-4.7602 -0.2739 -0.9134
-2.9964 -1.9338 3.2940
Sb Rh Ce Pt
1 1 1 1
Cartesian
-5.4302 0.3165 2.4012
-2.7151 0.1583 1.2006
0.0000 0.0000 0.0000
-8.1453 0.4748 3.6018
```